Model a:
Here is crystalline RbTeSeN2 at its relaxed geometry from Alexandria via LeMat-Bulk. Energies are from PBE-GGA.

abc: 4.719 4.719 5.435
angles: 90.00 90.00 90.00
Space group P4/mmm (No. 123)
One atom of each set of equivalent atoms:
1 Rb 0.000 0.000 0.000
2 Te 0.500 0.500 0.000
3 Se 0.500 0.500 0.500
4 N 0.000 0.500 0.500

The value obtained for the theoretical density is 4.39 g/cm³.

=====

Model b:
Here is crystalline RbTeSeN2 at its relaxed geometry from Alexandria via LeMat-Bulk. Energies are from PBE-GGA.

abc: 4.499 4.499 5.532
angles: 90.00 90.00 90.00
Space group P4/mmm (No. 123)
One atom of each set of equivalent atoms:
1 Rb 0.000 0.000 0.000
2 Te 0.500 0.500 0.500
3 Se 0.500 0.500 0.000
4 N 0.000 0.500 0.500

The value obtained for the theoretical density is 4.75 g/cm³.

=====

Stability, lowest: model a

=====

Model a:
Here is crystalline RbTeSe2N at its relaxed geometry from Alexandria via LeMat-Bulk. Energies are from PBE-GGA.

abc: 6.058 6.058 5.049
angles: 90.00 90.00 90.00
Space group P4/mmm (No. 123)
One atom of each set of equivalent atoms:
1 Rb 0.000 0.000 0.000
2 Te 0.500 0.500 0.500
3 Se 0.000 0.500 0.000
4 N 0.000 0.000 0.500

The value obtained for the theoretical density is 3.45 g/cm³.

=====

Model b:
Here is crystalline RbTeSe2N at its relaxed geometry from Alexandria via LeMat-Bulk. Energies are from PBE-GGA.

abc: 5.574 5.574 4.346
angles: 90.00 90.00 90.00
Space group P4/mmm (No. 123)
One atom of each set of equivalent atoms:
1 Rb 0.000 0.000 0.000
2 Te 0.500 0.500 0.500
3 Se 0.000 0.500 0.500
4 N 0.500 0.500 0.000

The value obtained for the theoretical density is 4.74 g/cm³.

=====

Stability, lowest: model a

=====

Model a:
Here is crystalline RbTiSeN2 at its relaxed geometry from Alexandria via LeMat-Bulk. Energies are from PBE-GGA.

abc: 4.288 4.288 5.050
angles: 90.00 90.00 90.00
Space group P4/mmm (No. 123)
One atom of each set of equivalent atoms:
1 Rb 0.000 0.000 0.000
2 Ti 0.500 0.500 0.500
3 Se 0.500 0.500 0.000
4 N 0.000 0.500 0.500

The value obtained for the theoretical density is 4.30 g/cm³.

=====

Model b:
Here is crystalline RbTiSeN2 at its relaxed geometry from Alexandria via LeMat-Bulk. Energies are from PBE-GGA.

abc: 4.142 4.142 5.980
angles: 90.00 90.00 90.00
Space group P4/mmm (No. 123)
One atom of each set of equivalent atoms:
1 Rb 0.000 0.000 0.000
2 Ti 0.500 0.500 0.500
3 Se 0.000 0.000 0.500
4 N 0.000 0.500 0.000

The value obtained for the theoretical density is 3.89 g/cm³.

=====

Stability, lowest: model b